Compound: Li2Ti3VO8
Source: Alexandria
Functional: PBE with a Hubbard U
Structure: optimized geometry

```
data_Li2Ti3VO8
_chemical_formula_sum 'Li2 Ti3 V1 O8'
_cell_length_a 5.988
_cell_length_b 5.988
_cell_length_c 6.016
_cell_angle_alpha 60.16
_cell_angle_beta 60.16
_cell_angle_gamma 60.00
_symmetry_space_group_name_H-M 'P 1'
_symmetry_Int_Tables_number 1
loop_
_symmetry_equiv_pos_as_xyz
'x,y,z'
loop_
_atom_site_label
_atom_site_type_symbol
_atom_site_fract_x
_atom_site_fract_y
_atom_site_fract_z
Li1 Li 0.121 0.121 0.637
Ti1 Ti 0.500 0.000 0.000
Ti2 Ti 0.500 0.500 0.000
O1 O 0.738 0.738 0.785
O2 O 0.746 0.746 0.220
O3 O 0.289 0.746 0.220
O4 O 0.746 0.289 0.220
O5 O 0.254 0.711 0.780
O6 O 0.254 0.254 0.780
Ti3 Ti 0.000 0.500 0.000
V1 V 0.500 0.500 0.500
Li2 Li 0.879 0.879 0.363
O7 O 0.711 0.254 0.780
O8 O 0.262 0.262 0.215
```

Properties
offset from the most stable computed form = 0.213 eV/f.u.
raw total energy = -112.28 eV/cell
space group = R-3m
ρ = 3.655 Mg/m³
density of states at the Fermi level = 0.11 states/eV/atom